Density functional theory data (PBE) for a geometry-optimized LiLa2SeN structure.

Unit cell a=5.0977 b=5.0977 c=3.9777 alpha=90.00 beta=90.00 gamma=90.00
Space group P4/mmm (No. 123)
Asymmetric unit:
Li  0.0000  0.0000  0.0000 (multiplicity 1)
La  0.0000  0.5000  0.5000 (multiplicity 2)
Se  0.5000  0.5000  0.0000 (multiplicity 1)
N  0.0000  0.0000  0.5000 (multiplicity 1)

Computed properties:
calculated volume = 103.4 Å³ per cell
uncorrected energy = -5.889 eV per atom